Th2MgP3Ir4: optimized geometry, PBE.

Cell lengths 4.0162, 4.0162, 10.9090 Å; angles 90.00, 90.00, 90.00 degrees
Closest atoms and distances in Å follow each position.
Sites, in units of the cell vectors:
Ir: 0.0000 0.5000 0.3412  1 P 2.33
Ir: 0.5000 0.5000 0.0000  4 P 2.45
Ir: 0.0000 0.0000 0.0000  4 P 2.45
Ir: 0.5000 0.0000 0.6587  1 P 2.33
P: 0.0000 0.5000 0.1281  5 Ir 2.33-2.45
P: 0.0000 0.0000 0.5000  4 Ir 2.65, 4 Mg 2.84
P: 0.5000 0.0000 0.8719  5 Ir 2.33-2.45
Th: 0.0000 0.5000 0.7623  8 Ir 3.06-3.28, 4 P 3.08
Th: 0.5000 0.0000 0.2377  8 Ir 3.06-3.28, 4 P 3.08
Mg: 0.5000 0.5000 0.5000  4 Ir 2.65, 4 P 2.84

Calculated volume   175.96 Å³ per cell
Calculated total energy   -7.7479 eV/atom
Formation energy from the elements   -0.94 eV/atom